1.
The following is a DFT calculation (PBE) of ReSiCl2 after structural relaxation.

a b c (Å): 3.1456 3.1456 9.2971
angles (deg): 90.00 90.00 121.68
Last column: nearest neighbours and their distance in Å.
Element x y z (fractional)
Re: 0.0000 0.0000 0.0000  2 Si 2.39, 2 Cl 2.48
Si: 0.5000 0.5000 0.1969  2 Re 2.39, 2 Cl 2.41
Cl: 0.0000 0.0000 0.3969  2 Si 2.41
Cl: 0.5000 0.5000 0.7902  2 Re 2.48

formation energy without anion corrections: 0.2685 eV per atom
E: -5.12 eV per atom
V: 78.3 Å³/cell
energy above the most stable polymorph in this dataset: 43.7 kJ/mol of atoms
theoretical density: 6.0 g/cm3
SG: No. 35

=====

2.
The following is a DFT calculation (PBE) of ReSiCl2 after structural relaxation.

a b c (Å): 7.5348 7.5348 7.5348
angles (deg): 158.17 143.75 42.71
Last column: nearest neighbours and their distance in Å.
Element x y z (fractional)
Re: 0.0000 0.0000 0.0000  2 Cl 2.40, 2 Si 2.56
Si: 0.1512 0.6512 0.5000  2 Re 2.56, 2 Si 2.85
Cl: 0.5139 0.5139 0.0000  4 Re 2.75, 2 Cl 2.85, 2 Si 3.03
Cl: 0.8628 0.3628 0.5000  2 Re 2.40

formation energy without anion corrections: 0.5282 eV per atom
E: -4.86 eV per atom
V: 93.8 Å³/cell
energy above the most stable polymorph in this dataset: 68.8 kJ/mol of atoms
theoretical density: 5.0 g/cm3
SG: No. 44

=====

3.
The following is a DFT calculation (PBE) of ReSi2Cl after structural relaxation.

a b c (Å): 9.3382 9.3382 9.3382
angles (deg): 18.24 18.24 18.24
Last column: nearest neighbours and their distance in Å.
Element x y z (fractional)
Re: 0.0000 0.0000 0.0000  3 Si 2.51, 3 Cl 2.54
Si: 0.4737 0.4737 0.4737  9 Si 2.66-2.96
Si: 0.7332 0.7332 0.7332  3 Re 2.51, 3 Si 2.66
Cl: 0.2651 0.2651 0.2651  3 Re 2.54

formation energy without anion corrections: 0.3694 eV per atom
E: -5.92 eV per atom
V: 69.7 Å³/cell
energy above the most stable polymorph in this dataset: 24.7 kJ/mol of atoms
theoretical density: 6.6 g/cm3
SG: No. 160

=====

4.
The following is a DFT calculation (PBE) of ReSi2Cl after structural relaxation.

a b c (Å): 8.0122 8.0122 8.0122
angles (deg): 159.62 151.35 35.41
Last column: nearest neighbours and their distance in Å.
Element x y z (fractional)
Re: 0.0000 0.0000 0.0000  6 Si 2.46-2.57
Si: 0.1403 0.6403 0.5000  2 Re 2.57, 4 Cl 2.68, 2 Si 2.83
Si: 0.4776 0.4776 0.0000  4 Re 2.46
Cl: 0.7133 0.2133 0.5000  4 Si 2.68, 2 Cl 2.83

formation energy without anion corrections: 0.3059 eV per atom
E: -5.98 eV per atom
V: 85.8 Å³/cell
energy above the most stable polymorph in this dataset: 18.6 kJ/mol of atoms
theoretical density: 5.4 g/cm3
SG: No. 44